Na2Ca3MnO6 after structural relaxation. Source: Alexandria, functional PBE+U.

Cell lengths 5.8687, 10.0085, 5.5407 Å; angles 90.00, 111.56, 90.00 degrees
With the nearest neighbours (Å) after each atom.
Space group C2/m (No. 12)
Inequivalent atoms, fractional coordinates:
Na (0.0000, 0.1667, 0.0000) (multiplicity 4)  6 O 2.39-2.45
Ca (0.0000, 0.0000, 0.5000) (multiplicity 2)  4 O 2.27
Ca (0.0000, 0.3314, 0.5000) (multiplicity 4)  6 O 2.29-2.56
Mn (0.0000, 0.5000, 0.0000) (multiplicity 2)  6 O 2.02-2.06
O (0.2045, 0.5000, 0.7768) (multiplicity 4)  1 Mn 2.02
O (0.2215, 0.3552, 0.2368) (multiplicity 8)  1 Mn 2.06, 2 Ca 2.27-2.29

Results
electronic total energy	-5.987	eV per atom


Na2CaMnO4 after structural relaxation. Source: Alexandria, functional PBE+U.

Cell lengths 6.2488, 6.6567, 9.2205 Å; angles 90.00, 90.00, 90.00 degrees
With the nearest neighbours (Å) after each atom.
Space group Imma (No. 74)
Inequivalent atoms, fractional coordinates:
Na (0.0000, 0.0000, 0.0000) (multiplicity 4)  6 O 2.33
Na (0.2500, 0.2500, 0.2500) (multiplicity 4)  6 O 2.53-2.66
Ca (0.0000, 0.0000, 0.5000) (multiplicity 4)  6 O 2.29-2.33
Mn (0.2500, 0.2500, 0.7500) (multiplicity 4)  6 O 1.95-2.05
O (0.0000, 0.0497, 0.7497) (multiplicity 8)  2 Mn 2.05
O (0.2454, 0.2500, 0.5380) (multiplicity 8)  1 Mn 1.95

Results
electronic total energy	-5.821	eV per atom
Fermi-level density of states	0.11	states/eV/cell


Na3Ca2MnO6 after structural relaxation. Source: Alexandria, functional PBE+U.

Cell lengths 5.6964, 9.8802, 5.8064 Å; angles 90.00, 109.24, 90.00 degrees
With the nearest neighbours (Å) after each atom.
Space group C2/m (No. 12)
Inequivalent atoms, fractional coordinates:
Na (0.0000, 0.0000, 0.0000) (multiplicity 2)  4 O 2.39
Na (0.0000, 0.3420, 0.0000) (multiplicity 4)  4 O 2.36-2.38
Ca (0.0000, 0.1678, 0.5000) (multiplicity 4)  6 O 2.33-2.35
Mn (0.0000, 0.5000, 0.5000) (multiplicity 2)  6 O 1.98-2.00
O (0.2134, 0.3562, 0.7107) (multiplicity 8)  1 Mn 2.00
O (0.2201, 0.5000, 0.2985) (multiplicity 4)  1 Mn 1.98

Results
electronic total energy	-5.650	eV per atom
Fermi-level density of states	17.60	states/eV/cell